FeOsRu2: single point on PBEsol structure, meta-GGA SCAN.

Computed properties:
ΔH_f (0 K) = 0.1454 eV per atom
magnetization = 3.5 Bohr magnetons per cell

Unit cell a=3.710 b=3.710 c=7.394 alpha=90.00 beta=90.00 gamma=90.00
Space group I4/mmm (No. 139)
One atom of each set of equivalent atoms:
Fe1 0.000 0.000 0.000
Os1 0.000 0.000 0.500
Ru1 0.000 0.500 0.250